Compound: VAg3Cl6
Source: Alexandria
Functional: PBE
Structure: relaxed

Summary:
polymorph energy (0 for the lowest one): 96 meV/atom
ρ: 3.84 g/cm3
formation energy (no corrections): -0.622 eV/atom

```
VAg3Cl6
1.0
-4.900 1.867 3.413
-2.916 -4.622 -3.047
5.603 -2.804 4.537
Cl Ag V
6 3 1
Direct
0.075 0.075 0.737
0.243 0.757 0.000
0.338 0.338 0.263
0.662 0.662 0.737
0.757 0.243 0.000
0.925 0.925 0.263
0.750 0.250 0.500
0.500 0.500 0.000
0.250 0.750 0.500
0.000 0.000 0.000
```

Compound: SmTmHgBi
Source: Alexandria
Functional: PBE
Structure: relaxed

Summary:
formation energy from the elements: -47 kJ per mole of atoms
ρ: 10.88 g/cm3

```
SmTmHgBi
1.0
5.398 0.000 0.000
2.699 4.675 0.000
2.699 1.558 4.407
Bi Hg Tm Sm
1 1 1 1
Direct
0.250 0.250 0.250
0.750 0.750 0.750
0.000 0.000 0.000
0.500 0.500 0.500
```

Compound: BaScAl
Source: Alexandria
Functional: PBE
Structure: relaxed

Summary:
formation energy from the elements: 22 kJ per mole of atoms
polymorph energy (0 for the lowest one): 371 meV/atom
ρ: 3.71 g/cm3

```
BaScAl
1.0
-1.913 -1.944 2.442
1.246 -1.605 -3.045
6.838 -1.933 3.817
Ba Sc Al
1 1 1
Direct
0.333 0.667 0.304
0.667 0.333 0.724
0.000 0.000 0.972
```

| no. | Fermi-level density of states (states/eV/cell) | total magnetization (μB/f.u.) |
| --- | --- | --- |
| 1 | 7.75 | 2.00 |
| 2 | 4.41 | 0.00 |
| 3 | 3.23 | 0.41 |